Compound: KRb2NbO4
Source: Alexandria via LeMat-Bulk
Functional: PBE
Structure: relaxed

## Properties
- raw formation energy (meV/atom) = -2140.7
- symmetry = Pmn2_1
- total energy (hartree per atom) = -0.2300
- DOS(E_F) (states/eV per cell) = 0.0

abc: 6.520 7.320 8.190
angles: 90.00 90.00 90.00
Fractional coordinates of all 16 atoms:
K (0.992, 0.148, 0.500)
K (0.492, 0.852, 0.000)
Rb (0.490, 0.319, 0.257)
Rb (0.490, 0.319, 0.743)
Rb (0.990, 0.681, 0.757)
Rb (0.990, 0.681, 0.243)
Nb (0.503, 0.825, 0.500)
Nb (0.003, 0.175, 0.000)
O (0.291, 0.161, 0.000)
O (0.791, 0.839, 0.500)
O (0.392, 0.063, 0.500)
O (0.892, 0.937, 0.000)
O (0.421, 0.698, 0.691)
O (0.921, 0.302, 0.191)
O (0.921, 0.302, 0.809)
O (0.421, 0.698, 0.309)